1.
An optimized crystal structure of PmNd2YTm2, computed with PBE.

abc: 7.0729 9.8267 5.6669
angles: 90.00 90.00 90.00
Closest atoms and distances in Å follow each position.
Fractional positions:
Pm 0.0000 0.0000 0.0000  2 Y 3.54, 6 Nd 3.71-3.73, 6 Tm 3.72-3.73
Pm 0.5000 0.5000 0.5000  2 Y 3.54, 6 Nd 3.71-3.73, 6 Tm 3.72-3.73
Nd 0.2480 0.3329 0.0000  5 Tm 3.27-3.55
Nd 0.2520 0.8329 0.5000  5 Tm 3.27-3.55
Nd 0.7480 0.1671 0.5000  5 Tm 3.27-3.55
Nd 0.7520 0.6671 0.0000  5 Tm 3.27-3.55
Y 0.0000 0.5000 0.5000  2 Pm 3.54, 6 Nd 3.71-3.73, 6 Tm 3.72
Y 0.5000 0.0000 0.0000  2 Pm 3.54, 6 Nd 3.71-3.73, 6 Tm 3.72
Tm 0.2496 0.1664 0.5000  5 Nd 3.27-3.55
Tm 0.2504 0.6664 0.0000  5 Nd 3.27-3.55
Tm 0.7496 0.3336 0.0000  5 Nd 3.27-3.55
Tm 0.7504 0.8336 0.5000  5 Nd 3.27-3.55

Values from the calculation:
For the total energy, the calculation gives -0.1795 hartree per atom. Its calculated volume is 393.9 Å³/cell. As for the space group: No. 58. Its crystal system is orthorhombic. The calculation puts the energy relative to the elements at 64 meV/atom.

---

2.
An optimized crystal structure of Tb2TiH, computed with PBE.

abc: 8.9905 8.9905 8.9905
angles: 21.23 21.23 21.23
Closest atoms and distances in Å follow each position.
Fractional positions:
Tb 0.1120 0.1120 0.1120  3 H 2.39
Tb 0.8880 0.8880 0.8880  3 H 2.39
Ti 0.0000 0.0000 0.0000  2 Tb 2.95
H 0.5000 0.5000 0.5000  6 Tb 2.39

Values from the calculation:
For the total energy, the calculation gives -0.1794 hartree per atom. Its calculated volume is 83.5 Å³/cell. As for the space group: No. 166. As for the energy above the most stable polymorph in this dataset: 0.087 eV per atom. Its crystal system is trigonal.

---

3.
An optimized crystal structure of SmDy2Lu, computed with PBE.

abc: 4.9991 4.9991 5.0252
angles: 90.00 90.00 90.00
Closest atoms and distances in Å follow each position.
Fractional positions:
Sm 0.0000 0.0000 0.0000  4 Lu 3.53, 8 Dy 3.54
Dy 0.0000 0.5000 0.5000  4 Dy 3.53, 4 Sm 3.54, 4 Lu 3.54
Dy 0.5000 0.0000 0.5000  4 Dy 3.53, 4 Sm 3.54, 4 Lu 3.54
Lu 0.5000 0.5000 0.0000  4 Sm 3.53, 8 Dy 3.54

Values from the calculation:
For the total energy, the calculation gives -0.1686 hartree per atom. Its calculated volume is 125.6 Å³/cell. As for the space group: No. 123. As for the energy above the most stable polymorph in this dataset: 0.000 eV per atom. Its crystal system is tetragonal. The calculation puts the energy relative to the elements at 24 meV/atom.